1.
The following is a DFT calculation (PBE) of GeRh2F after structural relaxation.

Results
The value obtained for the volume is 58 Å³/f.u. The uncorrected formation energy comes out at -0.2187 eV/atom. As for the energy above the lowest structure with this stoichiometry: 0.229 eV per atom. Its space group is I-42d (122). As for the total magnetization: 0.084 μB/atom.

a b c (Å): 6.488 6.488 5.363
angles (deg): 52.77 52.77 90.00
Last column: magnetic moment on the atom in μB.
Sites, in units of the cell vectors:
1 Rh 0.625 0.125 0.250  0.16
2 Ge 0.000 0.000 0.000  -0.01
3 Rh 0.125 0.625 0.250  0.16
4 Rh 0.875 0.875 0.750  0.16
5 F 0.250 0.750 0.500  0.01
6 F 0.500 0.500 0.000  0.01
7 Rh 0.375 0.375 0.750  0.16
8 Ge 0.750 0.250 0.500  -0.01

***

2.
The following is a DFT calculation (PBE) of AcMg4Ni2 after structural relaxation.

Results
The value obtained for the volume is 147 Å³/f.u. For the formation energy, the calculation gives -169 meV per atom. As for the energy above the lowest structure with this stoichiometry: 0.000 eV per atom. Its space group is P4_2/mnm (136). As for the total magnetization: 0.000 μB/atom.

a b c (Å): 4.140 8.423 8.423
angles (deg): 90.00 90.00 90.00
Sites, in units of the cell vectors:
1 Ac 0.500 0.000 0.000
2 Ni 0.000 0.203 0.797
3 Mg 0.500 0.837 0.406
4 Mg 0.500 0.163 0.594
5 Mg 0.000 0.094 0.337
6 Mg 0.000 0.337 0.094
7 Ni 0.500 0.297 0.297
8 Ni 0.500 0.703 0.703
9 Mg 0.000 0.906 0.663
10 Mg 0.000 0.663 0.906
11 Mg 0.500 0.406 0.837
12 Ac 0.000 0.500 0.500
13 Mg 0.500 0.594 0.163
14 Ni 0.000 0.797 0.203

***

3.
The following is a DFT calculation (PBE) of TbPuCdAg after structural relaxation.

Results
The value obtained for the volume is 104 Å³/f.u. For the formation energy, the calculation gives -65 meV per atom. Its space group is F-43m (216). As for the total magnetization: 1.517 μB/atom.

a b c (Å): 5.271 5.271 5.271
angles (deg): 60.00 60.00 60.00
Last column: magnetic moment on the atom in μB.
Sites, in units of the cell vectors:
1 Pu 0.000 0.000 0.000  5.45
2 Cd 0.750 0.750 0.750  0.03
3 Tb 0.500 0.500 0.500  0.17
4 Ag 0.250 0.250 0.250  0.03

***

4.
The following is a DFT calculation (PBE) of Mg2Zn2GaRh5 after structural relaxation.

Results
The value obtained for the volume is 156 Å³/f.u. For the formation energy, the calculation gives -335 meV per atom. Its space group is P4/mbm (127). As for the total magnetization: 0.000 μB/atom.

a b c (Å): 3.226 9.827 9.827
angles (deg): 90.00 90.00 90.00
Sites, in units of the cell vectors:
1 Ga 0.000 0.000 0.000
2 Zn 0.000 0.136 0.636
3 Zn 0.000 0.636 0.864
4 Mg 0.000 0.332 0.832
5 Rh 0.500 0.454 0.304
6 Mg 0.000 0.168 0.332
7 Rh 0.500 0.500 0.000
8 Zn 0.000 0.864 0.364
9 Mg 0.000 0.668 0.168
10 Zn 0.000 0.364 0.136
11 Rh 0.500 0.954 0.196
12 Rh 0.500 0.546 0.696
13 Ga 0.000 0.500 0.500
14 Rh 0.500 0.046 0.804
15 Mg 0.000 0.832 0.668
16 Rh 0.500 0.696 0.454
17 Rh 0.500 0.196 0.046
18 Rh 0.500 0.304 0.546
19 Rh 0.500 0.000 0.500
20 Rh 0.500 0.804 0.954

***

5.
The following is a DFT calculation (PBE) of Tb2Cd2Pt15 after structural relaxation.

Results
The value obtained for the volume is 340 Å³/f.u. For the formation energy, the calculation gives -475 meV per atom. Its space group is R-3m (166). As for the total magnetization: 0.000 μB/atom.

a b c (Å): 7.029 7.029 7.029
angles (deg): 83.07 83.07 83.07
Sites, in units of the cell vectors:
1 Cd 0.899 0.899 0.899
2 Pt 0.000 0.000 0.500
3 Tb 0.645 0.645 0.645
4 Pt 0.657 0.166 0.657
5 Pt 0.834 0.343 0.343
6 Cd 0.101 0.101 0.101
7 Pt 0.000 0.320 0.680
8 Pt 0.680 0.320 0.000
9 Pt 0.343 0.834 0.343
10 Pt 0.000 0.500 0.000
11 Pt 0.657 0.657 0.166
12 Pt 0.320 0.680 0.000
13 Pt 0.500 0.000 0.000
14 Pt 0.343 0.343 0.834
15 Tb 0.355 0.355 0.355
16 Pt 0.000 0.680 0.320
17 Pt 0.166 0.657 0.657
18 Pt 0.680 0.000 0.320
19 Pt 0.320 0.000 0.680

***

6.
The following is a DFT calculation (PBE) of Ba2Cd3Sn6 after structural relaxation.

Results
The value obtained for the volume is 350 Å³/f.u. For the formation energy, the calculation gives -251 meV per atom. Its space group is P-62m (189). As for the total magnetization: 0.000 μB/atom.

a b c (Å): 5.388 8.663 8.663
angles (deg): 120.00 90.00 90.00
Sites, in units of the cell vectors:
1 Sn 0.000 0.000 0.799
2 Sn 0.500 0.302 0.000
3 Sn 0.500 0.698 0.698
4 Ba 0.000 0.667 0.333
5 Cd 0.500 0.000 0.631
6 Sn 0.000 0.201 0.201
7 Cd 0.500 0.369 0.369
8 Ba 0.000 0.333 0.667
9 Sn 0.000 0.799 0.000
10 Sn 0.500 0.000 0.302
11 Cd 0.500 0.631 0.000

***

7.
The following is a DFT calculation (PBE) of NaTcTe3 after structural relaxation.

Results
The value obtained for the volume is 156 Å³/f.u. The uncorrected formation energy comes out at 0.1463 eV/atom. As for the energy above the lowest structure with this stoichiometry: 0.000 eV per atom. Its space group is Pm-3m (221). As for the total magnetization: 0.555 μB/atom.

a b c (Å): 5.387 5.387 5.387
angles (deg): 90.00 90.00 90.00
Last column: magnetic moment on the atom in μB.
Sites, in units of the cell vectors:
1 Na 0.500 0.500 0.500  0.01
2 Te 0.000 0.000 0.500  0.04
3 Tc 0.000 0.000 0.000  1.99
4 Te 0.500 0.000 0.000  0.12
5 Te 0.000 0.500 0.000  0.10

***

8.
The following is a DFT calculation (PBE) of BiAs3 after structural relaxation.

Results
The value obtained for the volume is 105 Å³/f.u. For the formation energy, the calculation gives 53 meV per atom. As for the energy above the lowest structure with this stoichiometry: 0.050 eV per atom. Its space group is Pmm2 (25). As for the total magnetization: 0.000 μB/atom.

a b c (Å): 3.953 4.579 5.793
angles (deg): 90.00 90.00 90.00
Sites, in units of the cell vectors:
1 As 0.000 0.747 0.500
2 Bi 0.000 0.885 0.000
3 As 0.500 0.309 0.000
4 As 0.500 0.392 0.500

***

9.
The following is a DFT calculation (PBE) of RbSn3Sb3 after structural relaxation.

Results
The value obtained for the volume is 302 Å³/f.u. The uncorrected formation energy comes out at -0.0096 eV/atom. As for the energy above the lowest structure with this stoichiometry: 0.086 eV per atom. Its space group is Pm-3n (223). As for the total magnetization: 0.000 μB/atom.

a b c (Å): 8.450 8.450 8.450
angles (deg): 90.00 90.00 90.00
Sites, in units of the cell vectors:
1 Sn 0.250 0.000 0.500
2 Sb 0.000 0.250 0.500
3 Sb 0.250 0.500 0.000
4 Sn 0.500 0.750 0.000
5 Sn 0.750 0.000 0.500
6 Rb 0.500 0.500 0.500
7 Sb 0.500 0.000 0.250
8 Sb 0.000 0.750 0.500
9 Sb 0.750 0.500 0.000
10 Rb 0.000 0.000 0.000
11 Sb 0.500 0.000 0.750
12 Sn 0.000 0.500 0.250
13 Sn 0.500 0.250 0.000
14 Sn 0.000 0.500 0.750

***

10.
The following is a DFT calculation (PBE) of LiCaScPt2 after structural relaxation.

Results
The value obtained for the volume is 102 Å³/f.u. For the formation energy, the calculation gives -846 meV per atom. Its space group is I-4m2 (119). As for the total magnetization: 0.000 μB/atom.

a b c (Å): 4.118 4.118 6.698
angles (deg): 107.90 107.90 90.00
Sites, in units of the cell vectors:
1 Li 0.250 0.750 0.500
2 Ca 0.000 0.000 0.000
3 Sc 0.750 0.250 0.500
4 Pt 0.610 0.610 0.220
5 Pt 0.390 0.390 0.780

***

11.
The following is a DFT calculation (PBE) of Rb3TlPb after structural relaxation.

Results
The value obtained for the volume is 279 Å³/f.u. For the formation energy, the calculation gives -24 meV per atom. As for the energy above the lowest structure with this stoichiometry: 0.000 eV per atom. Its space group is C2/m (12). As for the total magnetization: 0.000 μB/atom.

a b c (Å): 9.751 9.751 8.462
angles (deg): 110.38 117.53 107.25
Sites, in units of the cell vectors:
1 Rb 0.269 0.495 0.764
2 Rb 0.230 0.987 0.815
3 Rb 0.172 0.416 0.185
4 Pb 0.613 0.135 0.748
5 Rb 0.770 0.013 0.185
6 Tl 0.727 0.876 0.604
7 Rb 0.731 0.505 0.236
8 Pb 0.387 0.865 0.252
9 Tl 0.273 0.124 0.396
10 Rb 0.828 0.584 0.815

***

12.
The following is a DFT calculation (PBE) of Pr3Ho3Tm after structural relaxation.

Results
The value obtained for the volume is 239 Å³/f.u. For the formation energy, the calculation gives 260 meV per atom. As for the energy above the lowest structure with this stoichiometry: 0.234 eV per atom. Its space group is R-3 (148). As for the total magnetization: 0.000 μB/atom.

a b c (Å): 8.854 8.854 8.854
angles (deg): 58.95 58.95 58.95
Sites, in units of the cell vectors:
1 Ho 0.430 0.938 0.272
2 Tm 0.348 0.348 0.348
3 Pr 0.935 0.703 0.185
4 Pr 0.815 0.065 0.297
5 Ho 0.062 0.728 0.570
6 Ho 0.570 0.062 0.728
7 Pr 0.185 0.935 0.703
8 Pr 0.703 0.185 0.935
9 Pr 0.065 0.297 0.815
10 Tm 0.652 0.652 0.652
11 Pr 0.297 0.815 0.065
12 Ho 0.272 0.430 0.938
13 Ho 0.728 0.570 0.062
14 Ho 0.938 0.272 0.430